1.
VASP calculation (PBE-GGA) on crystalline AgPtF3 at its relaxed geometry.

Cell lengths 4.1816, 4.1816, 4.1816 Å; angles 90.00, 90.00, 90.00 degrees
Last column: nearest neighbours and their distance in Å.
Element x y z (fractional)
F: 0.0000 0.5000 0.5000  2 Pt 2.09
F: 0.5000 0.0000 0.5000  2 Pt 2.09
Ag: 0.0000 0.0000 0.0000  12 F 2.96
F: 0.5000 0.5000 0.0000  2 Pt 2.09
Pt: 0.5000 0.5000 0.5000  6 F 2.09

Results
Offset from the most stable computed form (eV per formula unit): 1.42
Energy (eV per atom): -3.595
V (A^3/atom): 14.62
Mass density (g/cm³): 8.17
Space group: No. 221
Magnetic moment (μB/atom): 0.001


2.
VASP calculation (PBE-GGA) on crystalline AgPtF3 at its relaxed geometry.

Cell lengths 6.0275, 6.0275, 6.0275 Å; angles 59.05, 59.05, 59.05 degrees
Last column: nearest neighbours and their distance in Å.
Element x y z (fractional)
F: 0.4205 0.7795 0.0779  2 Pt 2.19-2.26, 1 Ag 2.32
F: 0.7795 0.0779 0.4205  2 Pt 2.19-2.26, 1 Ag 2.32
Ag: 0.6430 0.6430 0.6430  3 F 2.32
F: 0.5795 0.2205 0.9221  2 Pt 2.19-2.26, 1 Ag 2.32
F: 0.0779 0.4205 0.7795  2 Pt 2.19-2.26, 1 Ag 2.32
Pt: 0.8350 0.8350 0.8350  6 F 2.19-2.26
Pt: 0.1650 0.1650 0.1650  6 F 2.19-2.26
Ag: 0.3570 0.3570 0.3570  3 F 2.32
F: 0.9221 0.5795 0.2205  2 Pt 2.19-2.26, 1 Ag 2.32
F: 0.2205 0.9221 0.5795  2 Pt 2.19-2.26, 1 Ag 2.32

Results
Offset from the most stable computed form (eV per formula unit): 1.21
Energy (eV per atom): -3.636
V (A^3/atom): 15.15
Mass density (g/cm³): 7.89
Space group: No. 148
Magnetic moment (μB/atom): 0.400